[1]
Below is a PBEsol-optimized structure of BaSr3N, with properties calculated at the meta-GGA SCAN level.

a = 5.5609 Å, b = 5.5609 Å, c = 5.5609 Å
α = 90.00°, β = 90.00°, γ = 90.00°
With the nearest neighbours (Å) after each atom.
Fractional positions:
Ba1 0.0000 0.0000 0.0000  12 Sr 3.93
Sr1 0.0000 0.5000 0.5000  2 N 2.78
Sr2 0.5000 0.0000 0.5000  2 N 2.78
Sr3 0.5000 0.5000 0.0000  2 N 2.78
N1 0.5000 0.5000 0.5000  6 Sr 2.78

Computed properties:
Density in Mg/m³: 4.00
Formation energy (no corrections) in eV/atom: -0.1213

=====

[2]
Below is a PBEsol-optimized structure of KZn3Ru, with properties calculated at the meta-GGA SCAN level.

a = 4.8109 Å, b = 4.8109 Å, c = 4.8109 Å
α = 90.00°, β = 90.00°, γ = 90.00°
With the nearest neighbours (Å) after each atom.
Fractional positions:
K1 0.0000 0.0000 0.0000  12 Zn 3.40
Zn1 0.0000 0.5000 0.5000  2 Ru 2.41
Zn2 0.5000 0.0000 0.5000  2 Ru 2.41
Zn3 0.5000 0.5000 0.0000  2 Ru 2.41
Ru1 0.5000 0.5000 0.5000  6 Zn 2.41

Computed properties:
Density in Mg/m³: 5.02
Formation energy from the elements in eV/f.u.: 0.75

=====

[3]
Below is a PBEsol-optimized structure of ZnSbAu2, with properties calculated at the meta-GGA SCAN level.

a = 3.3909 Å, b = 4.7357 Å, c = 9.2095 Å
α = 90.00°, β = 90.00°, γ = 90.00°
With the nearest neighbours (Å) after each atom.
Fractional positions:
Zn1 0.0000 0.0000 0.0000  4 Au 2.66, 4 Sb 2.91
Zn2 0.5000 0.5000 0.5000  4 Au 2.66, 4 Sb 2.91
Sb1 0.0000 0.0000 0.5000  4 Zn 2.91, 8 Au 3.07-3.13
Sb2 0.5000 0.5000 0.0000  4 Zn 2.91, 8 Au 3.07-3.13
Au1 0.0000 0.5000 0.2776  2 Zn 2.66, 4 Au 2.96
Au2 0.0000 0.5000 0.7224  2 Zn 2.66, 4 Au 2.96
Au3 0.5000 0.0000 0.2224  2 Zn 2.66, 4 Au 2.96
Au4 0.5000 0.0000 0.7776  2 Zn 2.66, 4 Au 2.96

Computed properties:
E above lowest polymorph in kJ per mole of atoms: 19.4
Density in Mg/m³: 13.05
Formation energy (no corrections) in eV/atom: 0.0991

=====

[4]
Below is a PBEsol-optimized structure of NaLiCl2, with properties calculated at the meta-GGA SCAN level.

a = 3.8821 Å, b = 3.8821 Å, c = 22.7614 Å
α = 90.00°, β = 90.00°, γ = 120.00°
With the nearest neighbours (Å) after each atom.
Fractional positions:
Na1 0.0000 0.0000 0.0000  2 Cl 2.45
Na2 0.3333 0.6667 0.6667  2 Cl 2.45
Na3 0.6667 0.3333 0.3333  2 Cl 2.45
Li1 0.0000 0.0000 0.5000  6 Cl 2.61
Li2 0.3333 0.6667 0.1667  6 Cl 2.61
Li3 0.6667 0.3333 0.8333  6 Cl 2.61
Cl1 0.0000 0.0000 0.1078  1 Na 2.45, 3 Li 2.61
Cl2 0.0000 0.0000 0.8922  1 Na 2.45, 3 Li 2.61
Cl3 0.3333 0.6667 0.5589  1 Na 2.45, 3 Li 2.61
Cl4 0.3333 0.6667 0.7744  1 Na 2.45, 3 Li 2.61
Cl5 0.6667 0.3333 0.2256  1 Na 2.45, 3 Li 2.61
Cl6 0.6667 0.3333 0.4411  1 Na 2.45, 3 Li 2.61

Computed properties:
Density in Mg/m³: 1.69
Formation energy (no corrections) in eV/atom: -1.6855

=====

[5]
Below is a PBEsol-optimized structure of Co8Re, with properties calculated at the meta-GGA SCAN level.

a = 5.5052 Å, b = 5.5052 Å, c = 5.5052 Å
α = 95.80°, β = 95.80°, γ = 142.94°
With the nearest neighbours (Å) after each atom.
Fractional positions:
Co1 0.0000 0.3364 0.3364  11 Co 2.42-2.48, 1 Re 2.48
Co2 0.0000 0.6636 0.6636  11 Co 2.42-2.48, 1 Re 2.48
Co3 0.3314 0.3314 0.6628  10 Co 2.44-2.49, 2 Re 2.48
Co4 0.3314 0.6686 0.0000  10 Co 2.44-2.49, 2 Re 2.48
Co5 0.3364 0.0000 0.3364  11 Co 2.42-2.48, 1 Re 2.48
Co6 0.6636 0.0000 0.6636  11 Co 2.42-2.48, 1 Re 2.48
Co7 0.6686 0.3314 0.0000  10 Co 2.44-2.49, 2 Re 2.48
Co8 0.6686 0.6686 0.3372  10 Co 2.44-2.49, 2 Re 2.48
Re1 0.0000 0.0000 0.0000  12 Co 2.48

Computed properties:
Density in Mg/m³: 11.46
Formation energy from the elements in eV/f.u.: 1.42

=====

[6]
Below is a PBEsol-optimized structure of Tl2OsAu, with properties calculated at the meta-GGA SCAN level.

a = 2.9422 Å, b = 4.5691 Å, c = 12.3975 Å
α = 90.00°, β = 90.00°, γ = 90.00°
With the nearest neighbours (Å) after each atom.
Fractional positions:
Tl1 0.0000 0.0000 0.0000  2 Os 2.88, 2 Tl 2.94, 4 Au 3.05
Tl2 0.0000 0.5000 0.2088  4 Os 2.72, 2 Tl 2.94
Tl3 0.5000 0.0000 0.7088  4 Os 2.72, 2 Tl 2.94
Tl4 0.5000 0.5000 0.5000  2 Os 2.88, 2 Tl 2.94, 4 Au 3.05
Os1 0.0000 0.5000 0.7001  6 Tl 2.72-2.88, 2 Au 2.77, 2 Os 2.94
Os2 0.5000 0.0000 0.2001  6 Tl 2.72-2.88, 2 Au 2.77, 2 Os 2.94
Au1 0.0000 0.0000 0.3891  2 Os 2.77, 2 Au 2.94, 4 Tl 3.05
Au2 0.5000 0.5000 0.8891  2 Os 2.77, 2 Au 2.94, 4 Tl 3.05

Computed properties:
E above lowest polymorph in kJ per mole of atoms: 0.0
Density in Mg/m³: 15.86
Formation energy from the elements in eV/f.u.: 2.46

=====

[7]
Below is a PBEsol-optimized structure of CsIr3S, with properties calculated at the meta-GGA SCAN level.

a = 4.5679 Å, b = 4.5679 Å, c = 4.5679 Å
α = 90.00°, β = 90.00°, γ = 90.00°
With the nearest neighbours (Å) after each atom.
Fractional positions:
Cs1 0.0000 0.0000 0.0000  12 Ir 3.23
Ir1 0.0000 0.5000 0.5000  2 S 2.28
Ir2 0.5000 0.0000 0.5000  2 S 2.28
Ir3 0.5000 0.5000 0.0000  2 S 2.28
S1 0.5000 0.5000 0.5000  6 Ir 2.28

Computed properties:
Density in Mg/m³: 12.92
Formation energy (no corrections) in eV/atom: 1.3162

=====

[8]
Below is a PBEsol-optimized structure of Sm2MgTl, with properties calculated at the meta-GGA SCAN level.

a = 7.5738 Å, b = 7.5738 Å, c = 7.5738 Å
α = 90.00°, β = 90.00°, γ = 90.00°
With the nearest neighbours (Å) after each atom.
Fractional positions:
Sm1 0.2500 0.2500 0.2500  4 Tl 3.28, 4 Mg 3.28
Sm2 0.2500 0.2500 0.7500  4 Tl 3.28, 4 Mg 3.28
Sm3 0.2500 0.7500 0.2500  4 Tl 3.28, 4 Mg 3.28
Sm4 0.2500 0.7500 0.7500  4 Tl 3.28, 4 Mg 3.28
Sm5 0.7500 0.2500 0.2500  4 Tl 3.28, 4 Mg 3.28
Sm6 0.7500 0.2500 0.7500  4 Tl 3.28, 4 Mg 3.28
Sm7 0.7500 0.7500 0.2500  4 Tl 3.28, 4 Mg 3.28
Sm8 0.7500 0.7500 0.7500  4 Tl 3.28, 4 Mg 3.28
Mg1 0.0000 0.0000 0.0000  8 Sm 3.28
Mg2 0.0000 0.5000 0.5000  8 Sm 3.28
Mg3 0.5000 0.0000 0.5000  8 Sm 3.28
Mg4 0.5000 0.5000 0.0000  8 Sm 3.28
Tl1 0.0000 0.0000 0.5000  8 Sm 3.28
Tl2 0.0000 0.5000 0.0000  8 Sm 3.28
Tl3 0.5000 0.0000 0.0000  8 Sm 3.28
Tl4 0.5000 0.5000 0.5000  8 Sm 3.28

Computed properties:
Density in Mg/m³: 8.09
Formation energy from the elements in eV/f.u.: -1.53

=====

The highest density belongs to which entry?
Tl2OsAu